TlCrW2: relaxed, PBE.

Lattice parameters (Å, degrees): 5.2727 5.3670 2.8096 80.17 79.32 116.28
Last column: nearest neighbours and their distance in Å.
Sites, in units of the cell vectors:
Cr 0.0000 0.5000 0.5000  2 Tl 2.75, 4 W 2.81, 2 Cr 2.81
Tl 0.5000 0.5000 0.0000  2 Cr 2.75, 4 W 2.81, 2 Tl 2.81
W 0.0000 0.0000 0.0000  4 W 2.75-2.81, 2 Cr 2.81, 2 Tl 2.81
W 0.5000 0.0000 0.5000  4 W 2.75-2.81, 2 Tl 2.81, 2 Cr 2.81

Values from the calculation:
**E above lowest polymorph**: 94 kJ/mol of formula units
**D(E_F)**: 4.0 states/eV per cell
**ΔH_f (0 K)**: 3.4 eV per formula unit
**SG**: C2/m (12)